(1)
Compound: Cs
Source: Alexandria
Functional: PBE
Structure: relaxed

Output
Energy above the lowest structure with this stoichiometry ... 30 meV/atom
VASP energy ... -0.8237 eV per atom
DFT formation energy ... 0.03 eV per atom
Total magnetic moment ... 0.0 Bohr magnetons per cell

Geometry as extended XYZ:
```
2
Lattice="0.000 4.501 9.458 2.762 0.000 9.458 2.762 4.501 0.000" Properties=species:S:1:pos:R:3 pbc="T T T"
Cs 2.762 4.501 2.482
Cs 2.762 4.501 16.435
```



(2)
Compound: EuCuPd
Source: Alexandria
Functional: PBE
Structure: relaxed

Output
Energy above the lowest structure with this stoichiometry ... 146 meV/atom
VASP energy ... -6.7896 eV per atom
DFT formation energy ... -0.27 eV per atom
Total magnetic moment ... 7.1 Bohr magnetons per cell

Geometry as extended XYZ:
```
3
Lattice="-1.739 1.739 5.016 1.739 -1.739 5.016 1.739 1.739 -5.016" Properties=species:S:1:pos:R:3 pbc="T T T"
Eu 0.000 0.000 0.000
Cu 0.000 0.000 2.991
Pd 0.000 0.000 7.010
```



(3)
Compound: Cu2HgSe2
Source: Alexandria
Functional: PBE
Structure: relaxed

Output
Energy above the lowest structure with this stoichiometry ... 46 meV/atom
Formation energy from raw total energies ... -0.035 eV/atom
VASP energy ... -3.1277 eV per atom
Total magnetic moment ... 0.0 Bohr magnetons per cell

Geometry as extended XYZ:
```
10
Lattice="3.985 -5.163 0.000 3.985 5.163 0.000 -3.113 0.000 5.117" Properties=species:S:1:pos:R:3 pbc="T T T"
Cu -0.119 3.507 5.038
Cu 3.420 3.507 2.638
Cu 1.437 -3.507 2.479
Cu 4.977 -3.507 0.079
Hg 1.650 1.591 3.838
Hg 3.207 -1.591 1.279
Se 1.650 4.764 3.838
Se 3.207 1.473 1.279
Se 1.650 -1.473 3.838
Se 3.207 -4.764 1.279
```



(4)
Compound: AsRuSe2S
Source: Alexandria
Functional: PBE
Structure: relaxed

Output
Energy above the lowest structure with this stoichiometry ... 652 meV/atom
Formation energy from raw total energies ... 1.136 eV/atom
VASP energy ... -3.8686 eV per atom
Total magnetic moment ... 0.5 Bohr magnetons per cell

Geometry as extended XYZ:
```
5
Lattice="4.666 0.000 0.000 0.000 4.666 0.000 0.000 0.000 4.726" Properties=species:S:1:pos:R:3 pbc="T T T"
As 0.000 0.000 0.000
Ru 2.333 2.333 0.000
Se 0.000 2.333 2.363
Se 2.333 0.000 2.363
S 0.000 0.000 2.363
```



(5)
Compound: MgAsOs4
Source: Alexandria
Functional: PBE
Structure: relaxed

Output
VASP energy ... -7.8766 eV per atom
DFT formation energy ... 0.65 eV per atom
Total magnetic moment ... 0.0 Bohr magnetons per cell

Geometry as extended XYZ:
```
6
Lattice="0.000 3.688 3.688 3.688 0.000 3.688 3.688 3.688 0.000" Properties=species:S:1:pos:R:3 pbc="T T T"
Mg 0.000 0.000 0.000
As 5.532 5.532 5.532
Os 2.768 2.768 2.768
Os 4.609 4.609 2.768
Os 4.609 2.768 4.609
Os 2.768 4.609 4.609
```



(6)
Compound: BaZnIn2Ag2
Source: Alexandria
Functional: PBE
Structure: relaxed

Output
VASP energy ... -2.5394 eV per atom
DFT formation energy ... -0.14 eV per atom
Total magnetic moment ... 0.0 Bohr magnetons per cell

Geometry as extended XYZ:
```
6
Lattice="4.986 0.000 0.000 0.000 4.986 0.000 0.000 0.000 6.403" Properties=species:S:1:pos:R:3 pbc="T T T"
Ba 0.000 0.000 0.000
Zn 0.000 0.000 3.201
In 2.493 2.493 1.549
In 2.493 2.493 4.854
Ag 0.000 2.493 3.201
Ag 2.493 0.000 3.201
```



(7)
Compound: KCrPb4
Source: Alexandria
Functional: PBE
Structure: relaxed

Output
VASP energy ... -3.9284 eV per atom
DFT formation energy ... 0.33 eV per atom
Total magnetic moment ... 4.9 Bohr magnetons per cell

Geometry as extended XYZ:
```
6
Lattice="0.000 4.624 4.624 4.624 0.000 4.624 4.624 4.624 0.000" Properties=species:S:1:pos:R:3 pbc="T T T"
K 0.000 0.000 0.000
Cr 2.312 2.312 2.312
Pb 5.774 3.473 3.473
Pb 3.473 5.774 3.473
Pb 3.473 3.473 5.774
Pb 5.774 5.774 5.774
```



(8)
Compound: CoAgP2Cl
Source: Alexandria
Functional: PBE
Structure: relaxed

Output
Energy above the lowest structure with this stoichiometry ... 0 meV/atom
Formation energy from raw total energies ... 0.281 eV/atom
VASP energy ... -4.2440 eV per atom
Total magnetic moment ... 0.0 Bohr magnetons per cell

Geometry as extended XYZ:
```
5
Lattice="4.071 0.000 0.000 0.000 4.071 0.000 0.000 0.000 7.737" Properties=species:S:1:pos:R:3 pbc="T T T"
Co 0.000 0.000 0.000
Ag 2.035 2.035 3.868
P 0.000 2.035 0.000
P 2.035 0.000 0.000
Cl 0.000 0.000 3.868
```